An optimized crystal structure of MnTcN2O. Source: the Alexandria database, functional PBE with a Hubbard U.

a b c (Å): 3.837 3.837 3.640
angles (deg): 90.00 90.00 90.00
Space group P4/mmm (No. 123)
Symmetry-distinct sites (fractional):
Mn  0.000  0.000  0.000 x1
Tc  0.500  0.500  0.500 x1
N  0.000  0.500  0.000 x2
O  0.000  0.000  0.500 x1

Calculated values
E_tot ... -7.014 eV per atom